Compound: ZrNiSb2
Source: the Alexandria database
Functional: GGA-PBE
Structure: relaxed

CIF file:
```
data_ZrNiSb2
_cell_length_a 7.375
_cell_length_b 7.375
_cell_length_c 6.281
_cell_angle_alpha 90.00
_cell_angle_beta 90.00
_cell_angle_gamma 90.00
_space_group_name_H-M_alt 'I -4 2 d'
_space_group_IT_number 122
_space_group_name_Hall 'I -4 2bw'
loop_
_atom_site_label
_atom_site_fract_x
_atom_site_fract_y
_atom_site_fract_z
_atom_site_occupancy
Zr1 0.000 0.000 0.000 1
Ni1 0.000 0.000 0.500 1
Sb1 0.196 0.250 0.625 1
```

Summary:
volume = 341.68 Å³ per cell
magnetic moment = 0.000 μB per atom
DOS at the Fermi energy = 0.68 states/eV per atom
E_form (uncorrected) = -71 kJ/mol of formula units

---

Compound: ZrNi2Sb
Source: the Alexandria database
Functional: GGA-PBE
Structure: relaxed

CIF file:
```
data_ZrNi2Sb
_cell_length_a 5.730
_cell_length_b 8.631
_cell_length_c 3.050
_cell_angle_alpha 90.00
_cell_angle_beta 115.88
_cell_angle_gamma 90.00
_space_group_name_H-M_alt 'C 1 2/m 1'
_space_group_IT_number 12
loop_
_space_group_symop_operation_xyz
'x,y,z'
'-x,-y,-z'
'-x,y,-z'
'x,-y,z'
'x+1/2,y+1/2,z'
'-x+1/2,-y+1/2,-z'
'-x+1/2,y+1/2,-z'
'x+1/2,-y+1/2,z'
loop_
_atom_site_label
_atom_site_fract_x
_atom_site_fract_y
_atom_site_fract_z
_atom_site_occupancy
Zr1 0.000 0.000 0.000 1
Ni1 0.250 0.250 0.500 1
Sb1 0.000 0.500 0.000 1
```

Summary:
volume = 135.70 Å³ per cell
magnetic moment = 0.000 μB per atom
DOS at the Fermi energy = 0.75 states/eV per atom
E_form (uncorrected) = -6 kJ/mol of formula units

---

Compound: ZrNiSb2
Source: the Alexandria database
Functional: GGA-PBE
Structure: relaxed

CIF file:
```
data_ZrNiSb2
_cell_length_a 4.0657
_cell_length_b 4.0657
_cell_length_c 12.1760
_cell_angle_alpha 90.00
_cell_angle_beta 90.00
_cell_angle_gamma 120.00
_space_group_name_H-M_alt 'P 63/m m c'
_space_group_IT_number 194
_space_group_name_Hall '-P 6c 2c'
loop_
_atom_site_label
_atom_site_fract_x
_atom_site_fract_y
_atom_site_fract_z
_atom_site_occupancy
Zr1 0.3333 0.6667 0.2500 1
Ni1 0.0000 0.0000 0.0000 1
Sb1 0.3333 0.6667 0.6046 1
```

Summary:
volume = 174.30 Å³ per cell
magnetic moment = 0.000 μB per atom
DOS at the Fermi energy = 0.75 states/eV per atom
E_form (uncorrected) = -29 kJ/mol of formula units

---

- Which of these has the lowest volume?
  ZrNi2Sb

---

- Which of these has the lowest E_form (uncorrected)?
  number 1

---

- What is the formula in the second record?
  ZrNi2Sb